Compound: CoPIrO
Source: the Open Quantum Materials Database
Functional: PBE with a Hubbard U
Structure: optimized geometry

Lattice parameters (Å, degrees): 3.944 5.207 5.356 90.00 90.00 90.00
Site moments in Bohr magnetons follow the coordinates.
Positions (direct):
Co: 0.000 0.833 0.026  1.94
Co: 0.000 0.167 0.526  1.96
Ir: 0.500 0.763 0.460  -0.09
Ir: 0.500 0.237 0.960  -0.10
O: 0.000 0.815 0.394  0.06
O: 0.000 0.185 0.894  0.05
P: 0.500 0.332 0.373  -0.04
P: 0.500 0.668 0.873  -0.05

Results
As for the energy above the most stable polymorph in this dataset: 0.416 eV per atom. As for the space group: Pmc2_1 (26). The raw total energy is -6.296 eV/atom. As for the total magnetization: 1.85 μB/f.u.